# 1
Here is a relaxed Fe2CoAg crystal from Alexandria. Energies are from PBE-GGA.

Unit cell a=5.2586 b=5.2586 c=5.2586 alpha=102.78 beta=102.78 gamma=123.88
With the nearest neighbours (Å) after each atom.
Positions (direct):
Fe 0.0727 0.6250 0.9477  2 Co 2.18
Fe 0.3750 0.3227 0.4477  2 Co 2.18
Fe 0.6773 0.1250 0.0523  2 Co 2.18
Fe 0.8750 0.9273 0.5523  2 Co 2.18
Co 0.0000 0.0000 0.0000  4 Fe 2.18
Co 0.7500 0.2500 0.5000  4 Fe 2.18
Ag 0.2500 0.7500 0.5000  2 Co 2.47, 4 Fe 2.65
Ag 0.5000 0.5000 0.0000  2 Co 2.47, 4 Fe 2.65

**ΔE_f**: 0.974 eV per atom
**Symmetry**: No. 122
**Magnetization**: 0.004 μB per formula unit
**Calculated volume**: 106.53 Å³/cell



# 2
Here is a relaxed Rb2CaTmF6 crystal from Alexandria. Energies are from PBE-GGA.

Unit cell a=6.5108 b=9.0429 c=6.4061 alpha=90.00 beta=90.00 gamma=90.00
With the nearest neighbours (Å) after each atom.
Positions (direct):
Rb 0.2500 0.0104 0.2217  9 F 2.93-3.26
Rb 0.2500 0.4896 0.2217  9 F 2.93-3.26
Rb 0.7500 0.5104 0.7783  9 F 2.93-3.26
Rb 0.7500 0.9896 0.7783  9 F 2.93-3.26
Ca 0.2500 0.2500 0.7317  6 F 2.33-2.42
Ca 0.7500 0.7500 0.2683  6 F 2.33-2.42
Tm 0.2500 0.7500 0.7408  6 F 2.19-2.27
Tm 0.7500 0.2500 0.2592  6 F 2.19-2.27
F 0.0098 0.7500 0.9986  1 Tm 2.27, 1 Ca 2.42
F 0.0352 0.2500 0.4400  1 Tm 2.19, 1 Ca 2.33
F 0.2500 0.5078 0.7628  1 Tm 2.19, 1 Ca 2.34
F 0.2500 0.9922 0.7628  1 Tm 2.19, 1 Ca 2.34
F 0.4648 0.2500 0.4400  1 Tm 2.19, 1 Ca 2.33
F 0.4902 0.7500 0.9986  1 Tm 2.27, 1 Ca 2.42
F 0.5098 0.2500 0.0014  1 Tm 2.27, 1 Ca 2.42
F 0.5352 0.7500 0.5600  1 Tm 2.19, 1 Ca 2.33
F 0.7500 0.0078 0.2372  1 Tm 2.19, 1 Ca 2.34
F 0.7500 0.4922 0.2372  1 Tm 2.19, 1 Ca 2.34
F 0.9648 0.7500 0.5600  1 Tm 2.19, 1 Ca 2.33
F 0.9902 0.2500 0.0014  1 Tm 2.27, 1 Ca 2.42

**ΔE_f (raw)**: -3295 meV/atom
**Symmetry**: No. 59
**Magnetization**: 0.406 μB per formula unit
**Calculated volume**: 377.17 Å³/cell



Which of these has the highest calculated volume?
Rb2CaTmF6